The following is a PBE calculation of an optimized crystal structure of Ga2NiOs, from Alexandria via LeMat-Bulk.

```
Ga2NiOs
1.0
3.0622 0.0000 0.0000
0.0000 4.1887 0.0000
0.0000 0.0000 4.1887
Os Ni Ga
1 1 2
Cartesian
1.5311 2.0944 2.0944
1.5311 0.0000 0.0000
0.0000 2.0944 0.0000
0.0000 0.0000 2.0944
```

The calculation puts the offset from the most stable computed form at 0 meV/atom. The calculation puts the energy of formation at -0.160 eV/atom. Its symmetry is P4/mmm, No. 123. The calculation puts the volume at 53.7 Å³/f.u.